[1]
Material: TbPm2
Method: DFT, PBE-GGA
State: optimized geometry

Output
SG = No. 227
calculated formation energy = 75 kJ/mol of formula units
ρ = 7.2 Mg/m³

Cell lengths 6.633, 6.633, 6.633 Å; angles 60.00, 60.00, 60.00 degrees
Sites, in units of the cell vectors:
Tb: 0.125 0.125 0.125
Tb: 0.875 0.875 0.875
Pm: 0.000 0.500 0.500
Pm: 0.500 0.000 0.500
Pm: 0.500 0.500 0.000
Pm: 0.500 0.500 0.500

---

[2]
Material: TbPmTe
Method: DFT, PBE-GGA
State: optimized geometry

Output
E_tot = -0.175 hartree per atom
SG = No. 216
ρ = 7.5 Mg/m³

Cell lengths 5.126, 5.126, 5.126 Å; angles 60.00, 60.00, 60.00 degrees
Sites, in units of the cell vectors:
Tb: 0.000 0.000 0.000
Pm: 0.500 0.500 0.500
Te: 0.750 0.750 0.750

---

[3]
Material: TbPm4Te5
Method: DFT, PBE-GGA
State: optimized geometry

Output
E_tot = -0.196 hartree per atom
SG = No. 139
ρ = 7.4 Mg/m³

Cell lengths 16.159, 16.159, 16.159 Å; angles 164.26, 164.26, 22.34 degrees
Sites, in units of the cell vectors:
Tb: 0.000 0.000 0.000
Pm: 0.193 0.193 0.000
Pm: 0.396 0.396 0.000
Pm: 0.604 0.604 0.000
Pm: 0.807 0.807 0.000
Te: 0.096 0.096 0.000
Te: 0.296 0.296 0.000
Te: 0.500 0.500 0.000
Te: 0.704 0.704 0.000
Te: 0.904 0.904 0.000

---

[4]
Material: TbPmTh
Method: DFT, PBE-GGA
State: optimized geometry

Output
SG = No. 216
calculated formation energy = 238 kJ/mol of formula units
ρ = 7.9 Mg/m³

Cell lengths 5.420, 5.420, 5.420 Å; angles 60.00, 60.00, 60.00 degrees
Sites, in units of the cell vectors:
Tb: 0.000 0.000 0.000
Pm: 0.250 0.250 0.250
Th: 0.500 0.500 0.500

---

[5]
Material: TbPmTl
Method: DFT, PBE-GGA
State: optimized geometry

Output
E_tot = -0.145 hartree per atom
SG = No. 216
ρ = 8.3 Mg/m³

Cell lengths 5.232, 5.232, 5.232 Å; angles 60.00, 60.00, 60.00 degrees
Sites, in units of the cell vectors:
Tb: 0.000 0.000 0.000
Pm: 0.500 0.500 0.500
Tl: 0.750 0.750 0.750

---

[6]
Material: Tb4Pm3Tm2
Method: DFT, PBE-GGA
State: optimized geometry

Output
SG = No. 174
calculated formation energy = 34 kJ/mol of formula units
ρ = 8.1 Mg/m³

Cell lengths 9.754, 9.754, 3.520 Å; angles 90.00, 90.00, 120.00 degrees
Sites, in units of the cell vectors:
Tb: 0.000 0.000 0.000
Tb: 0.366 0.031 0.000
Tb: 0.665 0.634 0.000
Tb: 0.969 0.335 0.000
Pm: 0.029 0.693 0.500
Pm: 0.307 0.336 0.500
Pm: 0.664 0.971 0.500
Tm: 0.333 0.667 0.000
Tm: 0.667 0.333 0.500

---

[7]
Material: Tb2Pm3Y
Method: DFT, PBE-GGA
State: optimized geometry

Output
SG = No. 63
calculated formation energy = -3 kJ/mol of formula units
ρ = 7.0 Mg/m³

Cell lengths 6.276, 6.276, 11.654 Å; angles 90.00, 90.00, 60.00 degrees
Sites, in units of the cell vectors:
Tb: 0.000 0.333 0.250
Tb: 0.000 0.667 0.750
Tb: 0.333 0.000 0.750
Tb: 0.667 0.000 0.250
Pm: 0.000 0.000 0.000
Pm: 0.000 0.000 0.500
Pm: 0.333 0.333 0.000
Pm: 0.333 0.333 0.500
Pm: 0.667 0.667 0.000
Pm: 0.667 0.667 0.500
Y: 0.333 0.667 0.250
Y: 0.667 0.333 0.750

---

[8]
Material: Tb2Pm2Y
Method: DFT, PBE-GGA
State: optimized geometry

Output
SG = No. 55
calculated formation energy = 41 kJ/mol of formula units
ρ = 6.9 Mg/m³

Cell lengths 9.476, 9.481, 3.709 Å; angles 90.00, 90.00, 90.00 degrees
Sites, in units of the cell vectors:
Tb: 0.127 0.125 0.000
Tb: 0.373 0.625 0.000
Tb: 0.627 0.375 0.000
Tb: 0.873 0.875 0.000
Pm: 0.172 0.826 0.500
Pm: 0.328 0.326 0.500
Pm: 0.672 0.674 0.500
Pm: 0.828 0.174 0.500
Y: 0.000 0.500 0.000
Y: 0.500 0.000 0.000

---

[9]
Material: TbPmY
Method: DFT, PBE-GGA
State: optimized geometry

Output
SG = No. 216
calculated formation energy = 215 kJ/mol of formula units
ρ = 5.6 Mg/m³

Cell lengths 5.490, 5.490, 5.490 Å; angles 60.00, 60.00, 60.00 degrees
Sites, in units of the cell vectors:
Tb: 0.000 0.000 0.000
Pm: 0.500 0.500 0.500
Y: 0.750 0.750 0.750

---

[10]
Material: TbPmZn4
Method: DFT, PBE-GGA
State: optimized geometry

Output
SG = No. 65
calculated formation energy = 227 kJ/mol of formula units
ρ = 5.5 Mg/m³

Cell lengths 5.625, 5.625, 5.422 Å; angles 90.00, 90.00, 90.51 degrees
Sites, in units of the cell vectors:
Tb: 0.000 0.000 0.000
Pm: 0.500 0.500 0.500
Zn: 0.150 0.850 0.500
Zn: 0.346 0.346 0.000
Zn: 0.654 0.654 0.000
Zn: 0.850 0.150 0.500

---

[11]
Material: TbPmZn
Method: DFT, PBE-GGA
State: optimized geometry

Output
SG = No. 216
calculated formation energy = 7 kJ/mol of formula units
ρ = 6.9 Mg/m³

Cell lengths 5.000, 5.000, 5.000 Å; angles 60.00, 60.00, 60.00 degrees
Sites, in units of the cell vectors:
Tb: 0.000 0.000 0.000
Pm: 0.500 0.500 0.500
Zn: 0.750 0.750 0.750

---

[12]
Material: TbPmZr
Method: DFT, PBE-GGA
State: optimized geometry

Output
SG = No. 216
calculated formation energy = 283 kJ/mol of formula units
ρ = 6.5 Mg/m³

Cell lengths 5.223, 5.223, 5.223 Å; angles 60.00, 60.00, 60.00 degrees
Sites, in units of the cell vectors:
Tb: 0.000 0.000 0.000
Pm: 0.250 0.250 0.250
Zr: 0.500 0.500 0.500

---

What is the formula in the fourth record? TbPmTh

---

Please write out number 6 again, unchanged.
Material: Tb4Pm3Tm2
Method: DFT, PBE-GGA
State: optimized geometry

Output
SG = No. 174
calculated formation energy = 34 kJ/mol of formula units
ρ = 8.1 Mg/m³

Cell lengths 9.754, 9.754, 3.520 Å; angles 90.00, 90.00, 120.00 degrees
Sites, in units of the cell vectors:
Tb: 0.000 0.000 0.000
Tb: 0.366 0.031 0.000
Tb: 0.665 0.634 0.000
Tb: 0.969 0.335 0.000
Pm: 0.029 0.693 0.500
Pm: 0.307 0.336 0.500
Pm: 0.664 0.971 0.500
Tm: 0.333 0.667 0.000
Tm: 0.667 0.333 0.500